CaCdIn2Pt | PBE | relaxed

Cell: 5.1908 5.1908 5.5318 Å, 90.00 90.00 90.00°
Closest atoms and distances in Å follow each position.
Fractional coordinates of all 5 atoms:
In1 0.5000 0.0000 0.0000  2 Pt 2.60
In2 0.0000 0.5000 0.0000  2 Pt 2.60
Ca1 0.0000 0.0000 0.5000  2 Pt 2.77
Pt1 0.0000 0.0000 0.0000  4 In 2.60, 2 Ca 2.77
Cd1 0.5000 0.5000 0.5000  4 Ca 3.67, 8 In 3.79

Properties
* VASP energy: -3.221 eV/atom
* space group: No. 123
* V: 29.81 A^3/atom
* energy of formation: -334 meV/atom

=====

RbCa2CdIn | PBE | relaxed

Cell: 6.1004 6.9543 6.1004 Å, 90.00 90.00 90.00°
Closest atoms and distances in Å follow each position.
Fractional coordinates of all 5 atoms:
In1 0.0000 0.0000 0.0000  4 Ca 3.05
Cd1 0.5000 0.5000 0.5000  4 Rb 4.31, 8 Ca 4.63
Ca1 0.5000 0.0000 0.0000  2 In 3.05
Ca2 0.0000 0.0000 0.5000  2 In 3.05
Rb1 0.0000 0.5000 0.0000  2 In 3.48

Properties
* VASP energy: -1.559 eV/atom
* space group: No. 123
* V: 51.76 A^3/atom
* energy of formation: 166 meV/atom